1.
VASP calculation (GGA-PBE) on a relaxed PuThGa crystal.

Output
Magnetization   5.8 μB/f.u.
Raw total energy   -51.11 eV per cell
Formation energy from the elements   -0.260 eV per atom
Offset from the most stable computed form   0.000 eV per atom
Crystal system   tetragonal

a = 4.370 Å, b = 4.370 Å, c = 8.160 Å
α = 90.00°, β = 90.00°, γ = 90.00°
Space group P4/nmm (No. 129, origin choice 2)
One atom of each set of equivalent atoms:
Pu: 0.250 0.750 0.000 [2 per cell]
Th: 0.250 0.250 0.351 [2 per cell]
Ga: 0.250 0.250 0.731 [2 per cell]


2.
VASP calculation (GGA-PBE) on a relaxed Pu2ThGa4 crystal.

Output
Magnetization   11.4 μB/f.u.
Raw total energy   -101.62 eV per cell
Formation energy from the elements   -0.374 eV per atom
Crystal system   orthorhombic

a = 4.141 Å, b = 4.192 Å, c = 18.834 Å
α = 90.00°, β = 90.00°, γ = 90.00°
Space group Immm (No. 71)
One atom of each set of equivalent atoms:
Pu: 0.000 0.000 0.195 [4 per cell]
Th: 0.000 0.500 0.000 [2 per cell]
Ga: 0.000 0.000 0.359 [4 per cell]
Ga: 0.000 0.500 0.433 [4 per cell]


3.
VASP calculation (GGA-PBE) on a relaxed PuThGa6 crystal.

Output
Magnetization   5.3 μB/f.u.
Raw total energy   -43.53 eV per cell
Formation energy from the elements   -0.452 eV per atom
Crystal system   hexagonal

a = 6.3671 Å, b = 6.3671 Å, c = 4.6263 Å
α = 90.00°, β = 90.00°, γ = 120.00°
Space group P-6m2 (No. 187)
One atom of each set of equivalent atoms:
Pu: 0.0000 0.0000 0.0000 [1 per cell]
Th: 0.6667 0.3333 0.5000 [1 per cell]
Ga: 0.0456 0.5228 0.0000 [3 per cell]
Ga: 0.1834 0.3668 0.5000 [3 per cell]


4.
VASP calculation (GGA-PBE) on a relaxed PuTh2Ga crystal.

Output
Magnetization   6.3 μB/f.u.
Raw total energy   -32.90 eV per cell
Formation energy from the elements   -0.175 eV per atom
Offset from the most stable computed form   0.000 eV per atom
Crystal system   tetragonal

a = 4.978 Å, b = 4.978 Å, c = 4.252 Å
α = 90.00°, β = 90.00°, γ = 90.00°
Space group P4/mmm (No. 123)
One atom of each set of equivalent atoms:
Pu: 0.000 0.000 0.000 [1 per cell]
Th: 0.000 0.500 0.500 [2 per cell]
Ga: 0.500 0.500 0.000 [1 per cell]


5.
VASP calculation (GGA-PBE) on a relaxed PuTh2Ga crystal.

Output
Magnetization   6.2 μB/f.u.
Raw total energy   -32.64 eV per cell
Formation energy from the elements   -0.111 eV per atom
Offset from the most stable computed form   0.064 eV per atom
Crystal system   tetragonal

a = 3.905 Å, b = 3.905 Å, c = 6.995 Å
α = 90.00°, β = 90.00°, γ = 90.00°
Space group P4/mmm (No. 123)
One atom of each set of equivalent atoms:
Pu: 0.000 0.000 0.000 [1 per cell]
Th: 0.500 0.500 0.265 [2 per cell]
Ga: 0.000 0.000 0.500 [1 per cell]


6.
VASP calculation (GGA-PBE) on a relaxed PuThTlGa crystal.

Output
Magnetization   5.9 μB/f.u.
Raw total energy   -110.45 eV per cell
Formation energy from the elements   -0.117 eV per atom
Crystal system   cubic

a = 7.540 Å, b = 7.540 Å, c = 7.540 Å
α = 90.00°, β = 90.00°, γ = 90.00°
Space group F-43m (No. 216)
One atom of each set of equivalent atoms:
Pu: 0.000 0.000 0.000 [4 per cell]
Th: 0.000 0.000 0.500 [4 per cell]
Tl: 0.250 0.250 0.750 [4 per cell]
Ga: 0.250 0.250 0.250 [4 per cell]


7.
VASP calculation (GGA-PBE) on a relaxed Pu2ThZn2Ga2 crystal.

Output
Magnetization   2.2 μB/f.u.
Raw total energy   -91.43 eV per cell
Formation energy from the elements   -0.147 eV per atom
Crystal system   monoclinic

a = 8.098 Å, b = 3.631 Å, c = 9.488 Å
α = 90.00°, β = 96.24°, γ = 90.00°
Space group C2/m (No. 12)
One atom of each set of equivalent atoms:
Pu: 0.157 0.000 0.471 [4 per cell]
Th: 0.000 0.000 0.000 [2 per cell]
Zn: 0.077 0.500 0.723 [4 per cell]
Ga: 0.215 0.500 0.211 [4 per cell]


8.
VASP calculation (GGA-PBE) on a relaxed PuThZnGa crystal.

Output
Magnetization   6.1 μB/f.u.
Raw total energy   -107.59 eV per cell
Formation energy from the elements   -0.212 eV per atom
Crystal system   cubic

a = 7.255 Å, b = 7.255 Å, c = 7.255 Å
α = 90.00°, β = 90.00°, γ = 90.00°
Space group F-43m (No. 216)
One atom of each set of equivalent atoms:
Pu: 0.000 0.000 0.000 [4 per cell]
Th: 0.000 0.000 0.500 [4 per cell]
Zn: 0.250 0.250 0.750 [4 per cell]
Ga: 0.250 0.250 0.250 [4 per cell]


9.
VASP calculation (GGA-PBE) on a relaxed PuTiGa2 crystal.

Output
Magnetization   5.1 μB/f.u.
Raw total energy   -29.73 eV per cell
Formation energy from the elements   -0.361 eV per atom
Offset from the most stable computed form   0.000 eV per atom
Crystal system   tetragonal

a = 2.950 Å, b = 2.950 Å, c = 8.386 Å
α = 90.00°, β = 90.00°, γ = 90.00°
Space group P4/mmm (No. 123)
One atom of each set of equivalent atoms:
Pu: 0.000 0.000 0.000 [1 per cell]
Ti: 0.000 0.000 0.500 [1 per cell]
Ga: 0.500 0.500 0.276 [2 per cell]


10.
VASP calculation (GGA-PBE) on a relaxed Pu2TiGa crystal.

Output
Magnetization   11.9 μB/f.u.
Raw total energy   -39.63 eV per cell
Formation energy from the elements   -0.010 eV per atom
Offset from the most stable computed form   0.124 eV per atom
Crystal system   tetragonal

a = 3.849 Å, b = 3.849 Å, c = 5.865 Å
α = 90.00°, β = 90.00°, γ = 90.00°
Space group P4/mmm (No. 123)
One atom of each set of equivalent atoms:
Pu: 0.000 0.000 0.243 [2 per cell]
Ti: 0.500 0.500 0.500 [1 per cell]
Ga: 0.500 0.500 0.000 [1 per cell]


11.
VASP calculation (GGA-PBE) on a relaxed PuTi2Ga crystal.

Output
Magnetization   6.9 μB/f.u.
Raw total energy   -134.36 eV per cell
Formation energy from the elements   -0.110 eV per atom
Offset from the most stable computed form   0.041 eV per atom
Crystal system   cubic

a = 6.605 Å, b = 6.605 Å, c = 6.605 Å
α = 90.00°, β = 90.00°, γ = 90.00°
Space group Fm-3m (No. 225)
One atom of each set of equivalent atoms:
Pu: 0.000 0.000 0.000 [4 per cell]
Ti: 0.250 0.250 0.250 [8 per cell]
Ga: 0.000 0.000 0.500 [4 per cell]


12.
VASP calculation (GGA-PBE) on a relaxed PuTiGa2 crystal.

Output
Magnetization   6.0 μB/f.u.
Raw total energy   -117.36 eV per cell
Formation energy from the elements   -0.265 eV per atom
Offset from the most stable computed form   0.097 eV per atom
Crystal system   cubic

a = 6.751 Å, b = 6.751 Å, c = 6.751 Å
α = 90.00°, β = 90.00°, γ = 90.00°
Space group Fm-3m (No. 225)
One atom of each set of equivalent atoms:
Pu: 0.000 0.000 0.000 [4 per cell]
Ti: 0.000 0.000 0.500 [4 per cell]
Ga: 0.250 0.250 0.250 [8 per cell]